# 1
NpGaOsRh: optimized geometry, PBE.

```
NpGaOsRh
1.0
0.0000 3.2417 3.2417
3.2417 0.0000 3.2417
3.2417 3.2417 0.0000
Np Ga Os Rh
1 1 1 1
Direct
0.0000 0.0000 0.0000
0.5000 0.5000 0.5000
0.2500 0.2500 0.2500
0.7500 0.7500 0.7500
```

Calculated values
SG = F-43m, No. 216
Spin magnetization = 2.93 μB per formula unit
DOS(E_F) = 1.15 states/eV per atom
Raw total energy = -8.8253 eV per atom


# 2
CeTh4Te8: optimized geometry, PBE.

```
CeTh4Te8
1.0
0.0000 6.3856 6.3856
6.3856 0.0000 6.3856
6.3856 6.3856 0.0000
Ce Th Te
1 4 8
Direct
0.0000 0.0000 0.0000
0.3900 0.3900 0.3900
0.3900 0.3900 0.8301
0.3900 0.8301 0.3900
0.8301 0.3900 0.3900
0.0980 0.6340 0.6340
0.1382 0.1382 0.1382
0.1382 0.1382 0.5854
0.1382 0.5854 0.1382
0.5854 0.1382 0.1382
0.6340 0.0980 0.6340
0.6340 0.6340 0.0980
0.6340 0.6340 0.6340
```

Calculated values
SG = F-43m, No. 216
Spin magnetization = 1.17 μB per formula unit
DOS(E_F) = 1.14 states/eV per atom
Raw total energy = -5.7335 eV per atom
Formation energy (no corrections) = -13.8 eV/f.u.


# 3
La2Pm7Nd3: optimized geometry, PBE.

```
La2Pm7Nd3
1.0
6.0232 0.0000 0.0000
0.0000 3.6591 0.0000
-1.0260 0.0000 19.3396
La Pm Nd
2 7 3
Direct
0.2047 0.0000 0.2952
0.7953 0.0000 0.7048
0.1845 0.5000 0.1429
0.2428 0.0000 0.4637
0.3145 0.0000 0.8264
0.5000 0.5000 0.0000
0.6855 0.0000 0.1736
0.7572 0.0000 0.5363
0.8155 0.5000 0.8571
0.0000 0.0000 0.0000
0.2840 0.5000 0.6313
0.7160 0.5000 0.3687
```

Calculated values
Energy relative to the lowest polymorph listed for this composition = 13 meV per atom
SG = P2/m, No. 10
Spin magnetization = 0.00 μB per formula unit
DOS(E_F) = 1.38 states/eV per atom
Raw total energy = -4.7021 eV per atom


# 4
Dy12HoSc7: optimized geometry, PBE.

```
Dy12HoSc7
1.0
-5.4720 5.4720 5.4720
5.4720 -5.4720 5.4720
5.4720 5.4720 -5.4720
Dy Ho Sc
12 1 7
Direct
0.0000 0.2592 0.7408
0.0000 0.7408 0.2592
0.2592 0.0000 0.7408
0.2592 0.2592 0.5184
0.2592 0.5184 0.2592
0.2592 0.7408 0.0000
0.4816 0.7408 0.7408
0.5184 0.2592 0.2592
0.7408 0.0000 0.2592
0.7408 0.2592 0.0000
0.7408 0.4816 0.7408
0.7408 0.7408 0.4816
0.0000 0.0000 0.0000
0.0000 0.0000 0.5000
0.0000 0.5000 0.0000
0.0000 0.5000 0.5000
0.5000 0.0000 0.0000
0.5000 0.0000 0.5000
0.5000 0.5000 0.0000
0.5000 0.5000 0.5000
```

Calculated values
Energy relative to the lowest polymorph listed for this composition = 567 meV per atom
SG = Im-3m, No. 229
Spin magnetization = 0.06 μB per formula unit
DOS(E_F) = 1.62 states/eV per atom
Raw total energy = -4.5228 eV per atom